This record from Alexandria via LeMat-Bulk describes a relaxed RbNaP2Se crystal. The functional is PBE.

Cell lengths 5.523, 5.523, 5.527 Å; angles 90.00, 90.00, 90.00 degrees
Atoms (fractional coordinates):
Rb 0.000 0.000 0.000
Na 0.000 0.000 0.500
P 0.000 0.500 0.000
P 0.500 0.000 0.000
Se 0.500 0.500 0.500

Energy = -1.90 eV/atom
DOS at the Fermi energy = 5.82 states/eV/f.u.
Magnetization = 0.00 Bohr magnetons per cell